Run one
## KZrIrS3 (GGA-PBE)

Data for crystalline KZrIrS3 at its relaxed geometry.

Summary:
- SG: No. 63

a = 7.755 Å, b = 7.755 Å, c = 9.690 Å
α = 90.00°, β = 90.00°, γ = 153.22°
Positions (direct):
Ir1 0.021 0.979 0.250
Ir2 0.979 0.021 0.750
K1 0.749 0.251 0.250
K2 0.251 0.749 0.750
S1 0.123 0.877 0.061
S2 0.425 0.575 0.250
S3 0.123 0.877 0.439
S4 0.877 0.123 0.561
S5 0.575 0.425 0.750
S6 0.877 0.123 0.939
Zr1 0.500 0.500 0.000
Zr2 0.500 0.500 0.500

=====

Run two
## KZrIrS3 (GGA-PBE)

Data for crystalline KZrIrS3 at its relaxed geometry.

Summary:
- SG: No. 11

a = 8.275 Å, b = 3.668 Å, c = 9.810 Å
α = 90.00°, β = 111.57°, γ = 90.00°
Positions (direct):
Ir1 0.609 0.750 0.089
Ir2 0.391 0.250 0.911
K1 0.262 0.250 0.230
K2 0.738 0.750 0.770
S1 0.765 0.250 0.059
S2 0.605 0.750 0.331
S3 0.064 0.750 0.376
S4 0.936 0.250 0.624
S5 0.395 0.250 0.669
S6 0.235 0.750 0.941
Zr1 0.824 0.250 0.332
Zr2 0.176 0.750 0.668

=====

Most stable pick: run two. Distance to second place: 40 meV per atom.

=====

Run one
## KSnIr (GGA-PBE)

Data for crystalline KSnIr at its relaxed geometry.

Summary:
- SG: No. 216

a = 4.776 Å, b = 4.776 Å, c = 4.776 Å
α = 60.00°, β = 60.00°, γ = 60.00°
Positions (direct):
Ir1 0.000 0.000 0.000
K1 0.250 0.250 0.250
Sn1 0.750 0.750 0.750

=====

Run two
## KSnIr (GGA-PBE)

Data for crystalline KSnIr at its relaxed geometry.

Summary:
- SG: No. 216

a = 4.897 Å, b = 4.897 Å, c = 4.897 Å
α = 60.00°, β = 60.00°, γ = 60.00°
Positions (direct):
Ir1 0.250 0.250 0.250
K1 0.000 0.000 0.000
Sn1 0.750 0.750 0.750

=====

Most stable pick: run one. Distance to second place: 981 meV per atom.

=====

Run one
## LiLaNbIr (GGA-PBE)

Data for crystalline LiLaNbIr at its relaxed geometry.

Summary:
- SG: No. 216

a = 4.817 Å, b = 4.817 Å, c = 4.817 Å
α = 60.00°, β = 60.00°, γ = 60.00°
Positions (direct):
Ir1 0.250 0.250 0.250
La1 0.500 0.500 0.500
Li1 0.750 0.750 0.750
Nb1 0.000 0.000 0.000

=====

Run two
## LiLaNbIr (GGA-PBE)

Data for crystalline LiLaNbIr at its relaxed geometry.

Summary:
- SG: No. 216

a = 4.685 Å, b = 4.685 Å, c = 4.685 Å
α = 60.00°, β = 60.00°, γ = 60.00°
Positions (direct):
Ir1 0.000 0.000 0.000
La1 0.500 0.500 0.500
Li1 0.750 0.750 0.750
Nb1 0.250 0.250 0.250

=====

Run three
## LiLaNbIr (GGA-PBE)

Data for crystalline LiLaNbIr at its relaxed geometry.

Summary:
- SG: No. 216

a = 4.691 Å, b = 4.691 Å, c = 4.691 Å
α = 60.00°, β = 60.00°, γ = 60.00°
Positions (direct):
Ir1 0.500 0.500 0.500
La1 0.250 0.250 0.250
Li1 0.750 0.750 0.750
Nb1 0.000 0.000 0.000

=====

Most stable pick: run two. Distance to second place: 104 meV per atom.

=====

Run one
## LaMgSnIr (GGA-PBE)

Data for crystalline LaMgSnIr at its relaxed geometry.

Summary:
- SG: No. 216

a = 4.956 Å, b = 4.956 Å, c = 4.956 Å
α = 60.00°, β = 60.00°, γ = 60.00°
Positions (direct):
Ir1 0.000 0.000 0.000
La1 0.500 0.500 0.500
Mg1 0.750 0.750 0.750
Sn1 0.250 0.250 0.250

=====

Run two
## LaMgSnIr (GGA-PBE)

Data for crystalline LaMgSnIr at its relaxed geometry.

Summary:
- SG: No. 216

a = 4.947 Å, b = 4.947 Å, c = 4.947 Å
α = 60.00°, β = 60.00°, γ = 60.00°
Positions (direct):
Ir1 0.250 0.250 0.250
La1 0.500 0.500 0.500
Mg1 0.750 0.750 0.750
Sn1 0.000 0.000 0.000

=====

Most stable pick: run two. Distance to second place: 99 meV per atom.

=====

Run one
## NaLaIr (GGA-PBE)

Data for crystalline NaLaIr at its relaxed geometry.

Summary:
- SG: No. 216

a = 4.809 Å, b = 4.809 Å, c = 4.809 Å
α = 60.00°, β = 60.00°, γ = 60.00°
Positions (direct):
Ir1 0.250 0.250 0.250
La1 0.000 0.000 0.000
Na1 0.750 0.750 0.750

=====

Run two
## NaLaIr (GGA-PBE)

Data for crystalline NaLaIr at its relaxed geometry.

Summary:
- SG: No. 216

a = 4.816 Å, b = 4.816 Å, c = 4.816 Å
α = 60.00°, β = 60.00°, γ = 60.00°
Positions (direct):
Ir1 0.000 0.000 0.000
La1 0.250 0.250 0.250
Na1 0.750 0.750 0.750

=====

Most stable pick: run two. Distance to second place: 426 meV per atom.

=====

Run one
## LaNiSnPIr (GGA-PBE)

Data for crystalline LaNiSnPIr at its relaxed geometry.

Summary:
- SG: No. 129

a = 4.144 Å, b = 4.144 Å, c = 10.571 Å
α = 90.00°, β = 90.00°, γ = 90.00°
Positions (direct):
Ir1 0.000 0.000 0.000
Ir2 0.500 0.500 0.000
La1 0.000 0.500 0.235
La2 0.500 0.000 0.765
Ni1 0.500 0.000 0.341
Ni2 0.000 0.500 0.659
P1 0.500 0.000 0.131
P2 0.000 0.500 0.869
Sn1 0.000 0.000 0.500
Sn2 0.500 0.500 0.500

=====

Run two
## LaNiSnPIr (GGA-PBE)

Data for crystalline LaNiSnPIr at its relaxed geometry.

Summary:
- SG: No. 129

a = 4.357 Å, b = 4.357 Å, c = 9.935 Å
α = 90.00°, β = 90.00°, γ = 90.00°
Positions (direct):
Ir1 0.000 0.000 0.000
Ir2 0.500 0.500 0.000
La1 0.000 0.500 0.275
La2 0.500 0.000 0.725
Ni1 0.500 0.000 0.415
Ni2 0.000 0.500 0.585
P1 0.000 0.000 0.500
P2 0.500 0.500 0.500
Sn1 0.500 0.000 0.152
Sn2 0.000 0.500 0.848

=====

Most stable pick: run one. Distance to second place: 53 meV per atom.

=====

Run one
## LaPIrO (GGA-PBE)

Data for crystalline LaPIrO at its relaxed geometry.

Summary:
- SG: No. 129

a = 6.281 Å, b = 6.281 Å, c = 4.402 Å
α = 90.00°, β = 90.00°, γ = 90.00°
Last column: magnetic moment on the atom in μB.
Positions (direct):
Ir1 0.000 0.500 0.127  0.33
Ir2 0.500 0.000 0.873  0.33
La1 0.000 0.000 0.500  -0.01
La2 0.500 0.500 0.500  -0.01
O1 0.000 0.000 0.000  0.13
O2 0.500 0.500 0.000  0.13
P1 0.500 0.000 0.377  0.00
P2 0.000 0.500 0.623  0.00

=====

Run two
## LaPIrO (GGA-PBE)

Data for crystalline LaPIrO at its relaxed geometry.

Summary:
- SG: No. 129

a = 4.011 Å, b = 4.011 Å, c = 8.636 Å
α = 90.00°, β = 90.00°, γ = 90.00°
Positions (direct):
Ir1 0.000 0.000 0.500
Ir2 0.500 0.500 0.500
La1 0.000 0.500 0.145
La2 0.500 0.000 0.855
O1 0.000 0.000 0.000
O2 0.500 0.500 0.000
P1 0.500 0.000 0.351
P2 0.000 0.500 0.649

=====

Run three
## LaPIrO (GGA-PBE)

Data for crystalline LaPIrO at its relaxed geometry.

Summary:
- SG: No. 26

a = 3.416 Å, b = 7.673 Å, c = 5.371 Å
α = 90.00°, β = 90.00°, γ = 90.00°
Positions (direct):
Ir1 0.000 0.257 0.004
Ir2 0.000 0.743 0.504
La1 0.500 0.668 0.004
La2 0.500 0.332 0.504
O1 0.000 0.493 0.249
O2 0.000 0.507 0.749
P1 0.500 0.933 0.496
P2 0.500 0.067 0.996

=====

Most stable pick: run two. Distance to second place: 674 meV per atom.

=====

Run one
## La2IrPd (GGA-PBE)

Data for crystalline La2IrPd at its relaxed geometry.

Summary:
- SG: No. 38

a = 4.542 Å, b = 5.854 Å, c = 5.854 Å
α = 39.57°, β = 90.00°, γ = 90.00°
Positions (direct):
Ir1 0.000 0.409 0.409
La1 0.000 0.138 0.138
La2 0.500 0.866 0.866
Pd1 0.500 0.588 0.588

=====

Run two
## La2IrPd (GGA-PBE)

Data for crystalline La2IrPd at its relaxed geometry.

Summary:
- SG: No. 11

a = 6.029 Å, b = 4.373 Å, c = 8.031 Å
α = 90.00°, β = 110.10°, γ = 90.00°
Positions (direct):
Ir1 0.319 0.750 0.208
Ir2 0.681 0.250 0.792
La1 0.777 0.750 0.060
La2 0.232 0.250 0.423
La3 0.768 0.750 0.577
La4 0.223 0.250 0.940
Pd1 0.679 0.250 0.295
Pd2 0.321 0.750 0.705

=====

Most stable pick: run two. Distance to second place: 20 meV per atom.